1.
Ca5TbSb4 | PBE | relaxed Values from VASP.

Summary:
Theoretical density = 4.239 g/cm³
Magnetic moment = 0.00 μB per formula unit
Final energy = -39.972 eV per formula unit

```
&SYSTEM
  ibrav = 0, nat = 10, ntyp = 3
/
ATOMIC_SPECIES
Ca 40.08 Ca.upf
Tb 158.93 Tb.upf
Sb 121.76 Sb.upf
ATOMIC_POSITIONS angstrom
Ca 0.000 0.000 0.000
Ca 5.233 0.000 3.832
Ca 5.834 0.000 0.131
Ca 10.534 0.000 7.542
Ca 11.135 0.000 3.841
Tb -0.377 0.000 3.837
Sb 2.546 0.000 5.702
Sb 7.572 0.000 5.741
Sb 8.796 0.000 1.933
Sb 13.822 0.000 1.971
CELL_PARAMETERS angstrom
8.561 -2.524 0.000
8.561 2.524 0.000
-0.755 0.000 7.673
```



2.
Tm6HgPd5 | PBE | relaxed Values from VASP.

Summary:
Theoretical density = 11.293 g/cm³
Magnetic moment = 0.00 μB per formula unit
ΔH_f (0 K) = -0.8522 eV per atom
Final energy = -63.321 eV per formula unit

```
&SYSTEM
  ibrav = 0, nat = 12, ntyp = 3
/
ATOMIC_SPECIES
Tm 168.93 Tm.upf
Hg 200.59 Hg.upf
Pd 106.42 Pd.upf
ATOMIC_POSITIONS angstrom
Tm 2.471 1.721 -2.515
Tm 0.000 1.683 0.000
Tm 2.471 1.721 2.515
Tm 0.000 1.792 4.880
Tm 0.000 5.341 0.000
Tm 0.000 1.792 9.911
Hg 0.000 0.000 7.396
Pd 2.471 0.000 0.000
Pd 0.000 0.000 2.485
Pd 2.471 0.000 4.965
Pd 0.000 3.512 2.431
Pd 0.000 0.000 12.307
CELL_PARAMETERS angstrom
-2.471 3.512 7.396
2.471 -3.512 7.396
2.471 3.512 -7.396
```



3.
Li3Zr3CrS8 | PBE | relaxed Values from VASP.

Summary:
Theoretical density = 3.583 g/cm³
Magnetic moment = 2.55 μB per formula unit
Final energy = -94.850 eV per formula unit

```
&SYSTEM
  ibrav = 0, nat = 15, ntyp = 4
/
ATOMIC_SPECIES
Li 6.94 Li.upf
Zr 91.22 Zr.upf
Cr 52.00 Cr.upf
S 32.06 S.upf
ATOMIC_POSITIONS angstrom
Li 0.000 0.000 0.000
Li 3.106 1.795 0.000
Li 3.106 -1.795 0.000
Zr 1.037 1.795 3.133
Zr 1.037 -1.795 3.133
Zr 4.143 0.000 3.133
Cr -2.069 0.000 3.133
S -0.107 0.000 4.610
S 5.121 1.893 1.653
S 3.165 1.893 4.612
S 2.070 0.000 1.557
S 6.216 0.000 4.708
S 5.121 -1.893 1.653
S 3.165 -1.893 4.612
S 8.394 0.000 1.655
CELL_PARAMETERS angstrom
6.212 -3.590 0.000
6.212 3.590 0.000
-4.138 0.000 6.265
```



4.
BaNaNb | PBE | relaxed Values from VASP.

Summary:
Theoretical density = 4.243 g/cm³
Magnetic moment = 0.00 μB per formula unit
ΔH_f (0 K) = 0.6165 eV per atom
Final energy = -11.462 eV per formula unit

```
&SYSTEM
  ibrav = 0, nat = 6, ntyp = 3
/
ATOMIC_SPECIES
Ba 137.33 Ba.upf
Na 22.99 Na.upf
Nb 92.91 Nb.upf
ATOMIC_POSITIONS angstrom
Ba 0.000 0.000 0.000
Ba 1.033 6.124 6.435
Na 0.720 1.196 3.055
Na 2.064 2.943 5.108
Nb 2.328 3.642 1.207
Nb 3.478 4.751 2.821
CELL_PARAMETERS angstrom
3.427 0.000 0.000
1.100 6.683 0.000
0.226 2.737 8.655
```



5.
K3GaP | PBE | relaxed Values from VASP.

Summary:
Theoretical density = 1.475 g/cm³
Magnetic moment = 0.98 μB per formula unit
ΔH_f (0 K) = 0.2158 eV per atom
Final energy = -10.650 eV per formula unit

```
&SYSTEM
  ibrav = 0, nat = 5, ntyp = 3
/
ATOMIC_SPECIES
K 39.10 K.upf
Ga 69.72 Ga.upf
P 30.97 P.upf
ATOMIC_POSITIONS angstrom
K 0.000 0.000 3.131
K 0.000 3.131 0.000
K 3.131 0.000 0.000
Ga 3.131 3.131 3.131
P 0.000 0.000 0.000
CELL_PARAMETERS angstrom
6.261 0.000 0.000
0.000 6.261 0.000
0.000 0.000 6.261
```



6.
Ba2Sr2Y | PBE | relaxed Values from VASP.

Summary:
Theoretical density = 3.443 g/cm³
Magnetic moment = 0.00 μB per formula unit
ΔH_f (0 K) = 0.4769 eV per atom
Final energy = -11.289 eV per formula unit

```
&SYSTEM
  ibrav = 0, nat = 5, ntyp = 3
/
ATOMIC_SPECIES
Ba 137.33 Ba.upf
Sr 87.62 Sr.upf
Y 88.91 Y.upf
ATOMIC_POSITIONS angstrom
Ba 2.509 0.000 5.161
Ba 0.000 2.509 5.161
Sr 0.000 0.000 1.850
Sr 0.000 0.000 18.792
Y 0.000 0.000 10.321
CELL_PARAMETERS angstrom
-2.509 2.509 10.321
2.509 -2.509 10.321
2.509 2.509 -10.321
```



7.
LaPmMg17 | PBE | relaxed Values from VASP.

Summary:
Theoretical density = 2.474 g/cm³
Magnetic moment = 0.00 μB per formula unit
ΔH_f (0 K) = -0.0639 eV per atom
Final energy = -37.999 eV per formula unit

```
&SYSTEM
  ibrav = 0, nat = 19, ntyp = 3
/
ATOMIC_SPECIES
La 138.91 La.upf
Pm 145.00 Pm.upf
Mg 24.30 Mg.upf
ATOMIC_POSITIONS angstrom
La 0.000 0.000 0.000
Pm 0.000 0.000 10.097
Mg -1.556 -2.678 5.062
Mg -3.097 -0.008 5.062
Mg -2.603 -1.503 7.835
Mg 0.000 0.000 3.563
Mg 0.000 -2.993 7.597
Mg -2.592 1.497 7.597
Mg 1.556 -2.678 5.062
Mg -1.541 2.686 5.062
Mg 0.000 0.000 6.580
Mg -2.484 -1.434 12.474
Mg 3.097 -0.008 5.062
Mg 1.541 2.686 5.062
Mg 2.603 -1.503 7.835
Mg 0.000 3.006 7.835
Mg 2.592 1.497 7.597
Mg 2.484 -1.434 12.474
Mg 0.000 2.868 12.474
CELL_PARAMETERS angstrom
5.152 2.975 5.087
-5.152 2.975 5.087
0.000 -5.949 5.087
```



8.
AcNdO2 | PBE | relaxed Values from VASP.

Summary:
Theoretical density = 10.075 g/cm³
Magnetic moment = 0.00 μB per formula unit
Final energy = -26.831 eV per formula unit

```
&SYSTEM
  ibrav = 0, nat = 4, ntyp = 3
/
ATOMIC_SPECIES
Ac 227.00 Ac.upf
Nd 144.24 Nd.upf
O 16.00 O.upf
ATOMIC_POSITIONS angstrom
Ac 0.000 0.000 0.000
Nd 0.000 0.000 3.202
O 1.611 1.611 1.627
O 1.611 1.611 4.777
CELL_PARAMETERS angstrom
3.222 0.000 0.000
0.000 3.222 0.000
0.000 0.000 6.404
```



9.
LaPrSc2Hg4 | PBE | relaxed Values from VASP.

Summary:
Theoretical density = 9.372 g/cm³
Magnetic moment = 1.14 μB per formula unit
ΔH_f (0 K) = -0.4124 eV per atom
Final energy = -26.876 eV per formula unit

```
&SYSTEM
  ibrav = 0, nat = 8, ntyp = 4
/
ATOMIC_SPECIES
La 138.91 La.upf
Pr 140.91 Pr.upf
Sc 44.96 Sc.upf
Hg 200.59 Hg.upf
ATOMIC_POSITIONS angstrom
La 0.000 0.000 0.000
Pr 0.000 0.000 12.915
Sc 0.000 0.000 6.444
Sc 0.000 0.000 19.386
Hg 0.000 0.000 3.247
Hg 0.000 0.000 9.702
Hg 0.000 0.000 16.128
Hg 0.000 0.000 22.583
CELL_PARAMETERS angstrom
2.639 1.523 8.610
-2.639 1.523 8.610
0.000 -3.047 8.610
```



10.
Cs2InHg10 | PBE | relaxed Values from VASP.

Summary:
Theoretical density = 8.034 g/cm³
Magnetic moment = 0.00 μB per formula unit
ΔH_f (0 K) = -0.1155 eV per atom
Final energy = -8.965 eV per formula unit

```
&SYSTEM
  ibrav = 0, nat = 26, ntyp = 3
/
ATOMIC_SPECIES
Cs 132.91 Cs.upf
In 114.82 In.upf
Hg 200.59 Hg.upf
ATOMIC_POSITIONS angstrom
Cs 2.710 0.839 0.000
Cs 2.777 7.199 0.000
Cs 8.196 5.521 0.000
Cs 8.263 11.881 0.000
In 0.000 6.360 3.534
In 5.487 0.000 3.534
Hg 0.513 1.588 3.534
Hg 0.712 4.025 1.504
Hg 0.712 4.025 5.565
Hg 1.953 8.867 3.534
Hg 2.515 11.874 3.534
Hg 2.971 5.514 3.534
Hg 3.534 2.507 3.534
Hg 4.774 10.385 1.504
Hg 4.774 10.385 5.565
Hg 4.973 7.948 3.534
Hg 6.000 4.772 3.534
Hg 6.199 2.335 1.504
Hg 6.199 2.335 5.565
Hg 7.439 10.213 3.534
Hg 8.002 7.206 3.534
Hg 8.458 0.846 3.534
Hg 9.020 3.853 3.534
Hg 10.261 8.695 1.504
Hg 10.261 8.695 5.565
Hg 10.460 11.132 3.534
CELL_PARAMETERS angstrom
10.973 0.000 0.000
0.000 12.720 0.000
0.000 0.000 7.068
```



11.
ZrTe4Rh | PBE | relaxed Values from VASP.

Summary:
Theoretical density = 7.372 g/cm³
Magnetic moment = 0.00 μB per formula unit
Final energy = -31.025 eV per formula unit

```
&SYSTEM
  ibrav = 0, nat = 12, ntyp = 3
/
ATOMIC_SPECIES
Zr 91.22 Zr.upf
Te 127.60 Te.upf
Rh 102.91 Rh.upf
ATOMIC_POSITIONS angstrom
Zr 0.000 0.000 0.000
Zr -0.106 3.330 3.402
Te 1.005 0.843 2.542
Te 0.899 2.487 5.945
Te 2.570 4.220 2.448
Te 2.464 5.771 5.850
Te 4.328 0.890 0.954
Te 4.222 2.441 4.356
Te 5.893 4.173 0.860
Te 5.787 5.818 4.262
Rh 3.396 0.000 3.402
Rh 3.502 3.330 0.000
CELL_PARAMETERS angstrom
7.004 0.000 0.000
0.000 6.661 0.000
-0.212 0.000 6.804
```



12.
TaPPt4 | PBE | relaxed Values from VASP.

Summary:
Theoretical density = 16.247 g/cm³
Magnetic moment = 0.00 μB per formula unit
ΔH_f (0 K) = 0.1640 eV per atom
Final energy = -40.442 eV per formula unit

```
&SYSTEM
  ibrav = 0, nat = 6, ntyp = 3
/
ATOMIC_SPECIES
Ta 180.95 Ta.upf
P 30.97 P.upf
Pt 195.08 Pt.upf
ATOMIC_POSITIONS angstrom
Ta 0.000 0.000 0.000
P 5.552 5.552 5.552
Pt 2.774 2.774 2.774
Pt 4.628 4.628 2.774
Pt 4.628 2.774 4.628
Pt 2.774 4.628 4.628
CELL_PARAMETERS angstrom
0.000 3.701 3.701
3.701 0.000 3.701
3.701 3.701 0.000
```



13.
LiNiTe2Br | PBE | relaxed Values from VASP.

Summary:
Theoretical density = 4.327 g/cm³
Magnetic moment = 1.28 μB per formula unit
Final energy = -13.165 eV per formula unit

```
&SYSTEM
  ibrav = 0, nat = 5, ntyp = 4
/
ATOMIC_SPECIES
Li 6.94 Li.upf
Ni 58.69 Ni.upf
Te 127.60 Te.upf
Br 79.90 Br.upf
ATOMIC_POSITIONS angstrom
Li 0.000 0.000 0.000
Ni 2.968 2.968 0.000
Te 0.000 2.968 2.183
Te 2.968 0.000 2.183
Br 2.968 2.968 2.183
CELL_PARAMETERS angstrom
5.935 0.000 0.000
0.000 5.935 0.000
0.000 0.000 4.366
```



14.
BaYOs2 | PBE | relaxed Values from VASP.

Summary:
Theoretical density = 11.182 g/cm³
Magnetic moment = 0.00 μB per formula unit
ΔH_f (0 K) = 0.8930 eV per atom
Final energy = -27.274 eV per formula unit

```
&SYSTEM
  ibrav = 0, nat = 4, ntyp = 3
/
ATOMIC_SPECIES
Ba 137.33 Ba.upf
Y 88.91 Y.upf
Os 190.23 Os.upf
ATOMIC_POSITIONS angstrom
Ba 0.000 0.000 0.000
Y 3.558 3.558 3.558
Os 1.779 1.779 1.779
Os 5.337 5.337 5.337
CELL_PARAMETERS angstrom
0.000 3.558 3.558
3.558 0.000 3.558
3.558 3.558 0.000
```



15.
TlHSe3 | PBE | relaxed Values from VASP.

Summary:
Theoretical density = 7.477 g/cm³
Magnetic moment = 0.00 μB per formula unit
Final energy = -13.389 eV per formula unit

```
&SYSTEM
  ibrav = 0, nat = 5, ntyp = 3
/
ATOMIC_SPECIES
Tl 204.38 Tl.upf
H 1.01 H.upf
Se 78.96 Se.upf
ATOMIC_POSITIONS angstrom
Tl 0.000 0.000 0.000
H 2.307 2.307 2.307
Se 0.000 2.307 2.307
Se 2.307 0.000 2.307
Se 2.307 2.307 0.000
CELL_PARAMETERS angstrom
4.614 0.000 0.000
0.000 4.614 0.000
0.000 0.000 4.614
```



16.
CoB | PBE | relaxed Values from VASP.

Summary:
Theoretical density = 5.499 g/cm³
Magnetic moment = 0.00 μB per formula unit
ΔH_f (0 K) = 0.5153 eV per atom
Final energy = -12.753 eV per formula unit

```
&SYSTEM
  ibrav = 0, nat = 2, ntyp = 2
/
ATOMIC_SPECIES
Co 58.93 Co.upf
B 10.81 B.upf
ATOMIC_POSITIONS angstrom
Co 0.000 0.000 0.000
B 1.096 1.096 1.096
CELL_PARAMETERS angstrom
0.000 2.192 2.192
2.192 0.000 2.192
2.192 2.192 0.000
```



17.
Sr8SiPb2 | PBE | relaxed Values from VASP.

Summary:
Theoretical density = 4.317 g/cm³
Magnetic moment = 0.00 μB per formula unit
Final energy = -29.718 eV per formula unit

```
&SYSTEM
  ibrav = 0, nat = 11, ntyp = 3
/
ATOMIC_SPECIES
Sr 87.62 Sr.upf
Si 28.09 Si.upf
Pb 207.20 Pb.upf
ATOMIC_POSITIONS angstrom
Sr -0.025 0.000 2.212
Sr 2.781 0.000 6.001
Sr 6.125 0.000 4.065
Sr 8.330 0.000 0.592
Sr 10.415 0.000 6.880
Sr 12.621 0.000 3.407
Sr 15.964 0.000 1.471
Sr 18.771 0.000 5.260
Si 9.373 0.000 3.736
Pb 3.455 0.000 1.659
Pb 15.290 0.000 5.813
CELL_PARAMETERS angstrom
10.394 -2.832 0.000
10.394 2.832 0.000
-2.042 0.000 7.472
```



18.
PuTl2Hg | PBE | relaxed Values from VASP.

Summary:
Theoretical density = 12.832 g/cm³
Magnetic moment = 6.08 μB per formula unit
ΔH_f (0 K) = 0.0911 eV per atom
Final energy = -19.002 eV per formula unit

```
&SYSTEM
  ibrav = 0, nat = 4, ntyp = 3
/
ATOMIC_SPECIES
Pu 244.00 Pu.upf
Tl 204.38 Tl.upf
Hg 200.59 Hg.upf
ATOMIC_POSITIONS angstrom
Pu 0.000 0.000 0.000
Tl 0.000 0.000 7.892
Tl 0.000 0.000 13.386
Hg 0.000 0.000 26.580
CELL_PARAMETERS angstrom
1.732 1.000 10.629
-1.732 1.000 10.629
0.000 -2.000 10.629
```



19.
SbPtSe2 | PBE | relaxed Values from VASP.

Summary:
Theoretical density = 9.805 g/cm³
Magnetic moment = 0.00 μB per formula unit
Final energy = -15.860 eV per formula unit

```
&SYSTEM
  ibrav = 0, nat = 4, ntyp = 3
/
ATOMIC_SPECIES
Sb 121.76 Sb.upf
Pt 195.08 Pt.upf
Se 78.96 Se.upf
ATOMIC_POSITIONS angstrom
Sb 0.000 0.000 0.000
Pt 1.612 0.000 2.518
Se 0.000 2.476 2.518
Se 1.612 2.476 0.000
CELL_PARAMETERS angstrom
3.224 0.000 0.000
0.000 4.952 0.000
0.000 0.000 5.037
```



20.
BeNb2Ni | PBE | relaxed Values from VASP.

Summary:
Theoretical density = 7.425 g/cm³
Magnetic moment = 0.00 μB per formula unit
ΔH_f (0 K) = -0.0524 eV per atom
Final energy = -29.857 eV per formula unit

```
&SYSTEM
  ibrav = 0, nat = 4, ntyp = 3
/
ATOMIC_SPECIES
Be 9.01 Be.upf
Nb 92.91 Nb.upf
Ni 58.69 Ni.upf
ATOMIC_POSITIONS angstrom
Be 0.000 0.000 0.000
Nb 0.000 1.955 1.855
Nb 1.955 0.000 1.855
Ni 1.955 1.955 0.000
CELL_PARAMETERS angstrom
3.909 0.000 0.000
0.000 3.909 0.000
0.000 0.000 3.710
```



21.
Sm2HoTm2 | PBE | relaxed Values from VASP.

Summary:
Theoretical density = 8.444 g/cm³
Magnetic moment = 0.00 μB per formula unit
ΔH_f (0 K) = 0.0081 eV per atom
Final energy = -22.918 eV per formula unit

```
&SYSTEM
  ibrav = 0, nat = 5, ntyp = 3
/
ATOMIC_SPECIES
Sm 150.36 Sm.upf
Ho 164.93 Ho.upf
Tm 168.93 Tm.upf
ATOMIC_POSITIONS angstrom
Sm 0.003 0.000 5.670
Sm 4.101 0.000 8.694
Ho 0.000 0.000 0.000
Tm 2.062 0.000 2.808
Tm 2.043 0.000 11.556
CELL_PARAMETERS angstrom
3.085 -1.783 0.000
3.085 1.783 0.000
-2.065 0.000 14.364
```



22.
Na2LiDy | PBE | relaxed Values from VASP.

Summary:
Theoretical density = 2.906 g/cm³
Magnetic moment = 0.00 μB per formula unit
ΔH_f (0 K) = 0.2244 eV per atom
Final energy = -8.256 eV per formula unit

```
&SYSTEM
  ibrav = 0, nat = 4, ntyp = 3
/
ATOMIC_SPECIES
Na 22.99 Na.upf
Li 6.94 Li.upf
Dy 162.50 Dy.upf
ATOMIC_POSITIONS angstrom
Na 0.000 0.000 3.386
Na 0.000 0.000 33.704
Li 0.000 0.000 18.545
Dy 0.000 0.000 0.000
CELL_PARAMETERS angstrom
1.695 0.979 12.363
-1.695 0.979 12.363
0.000 -1.958 12.363
```



23.
SrAlOsO6 | PBE | relaxed Values from VASP.

Summary:
Theoretical density = 5.458 g/cm³
Magnetic moment = 1.00 μB per formula unit
Final energy = -64.487 eV per formula unit

```
&SYSTEM
  ibrav = 0, nat = 9, ntyp = 4
/
ATOMIC_SPECIES
Sr 87.62 Sr.upf
Al 26.98 Al.upf
Os 190.23 Os.upf
O 16.00 O.upf
ATOMIC_POSITIONS angstrom
Sr 0.000 0.000 0.000
Al 0.000 2.945 2.706
Os 2.550 1.472 2.706
O 1.961 0.005 3.770
O 0.985 1.696 1.642
O 3.140 0.005 1.642
O 1.574 2.717 3.770
O 4.116 1.696 3.770
O 3.527 2.717 1.642
CELL_PARAMETERS angstrom
5.101 0.000 0.000
-2.550 4.417 0.000
0.000 0.000 5.412
```



24.
HoSnO | PBE | relaxed Values from VASP.

Summary:
Theoretical density = 7.073 g/cm³
Magnetic moment = 0.42 μB per formula unit
Final energy = -18.931 eV per formula unit

```
&SYSTEM
  ibrav = 0, nat = 3, ntyp = 3
/
ATOMIC_SPECIES
Ho 164.93 Ho.upf
Sn 118.71 Sn.upf
O 16.00 O.upf
ATOMIC_POSITIONS angstrom
Ho 0.000 0.000 0.000
Sn 0.000 2.123 3.005
O 1.838 1.061 0.000
CELL_PARAMETERS angstrom
3.676 0.000 0.000
-1.838 3.184 0.000
0.000 0.000 6.010
```



25.
BaEuGe4 | PBE | relaxed Values from VASP.

Summary:
Theoretical density = 6.414 g/cm³
Magnetic moment = 7.00 μB per formula unit
ΔH_f (0 K) = -0.4071 eV per atom
Final energy = -33.109 eV per formula unit

```
&SYSTEM
  ibrav = 0, nat = 6, ntyp = 3
/
ATOMIC_SPECIES
Ba 137.33 Ba.upf
Eu 151.96 Eu.upf
Ge 72.64 Ge.upf
ATOMIC_POSITIONS angstrom
Ba 0.000 0.000 0.000
Eu 6.327 6.327 6.327
Ge 3.251 3.251 3.251
Ge 5.185 5.185 3.251
Ge 5.185 3.251 5.185
Ge 3.251 5.185 5.185
CELL_PARAMETERS angstrom
0.000 4.218 4.218
4.218 0.000 4.218
4.218 4.218 0.000
```